Below is crystalline CaZr2Br at its relaxed geometry, with properties calculated at the GGA-PBE level.

Formation energy from raw total energies ... 0.078 eV/atom
Fermi-level density of states ... 0.963 states/eV per atom
Spin magnetization ... 0.00 μB per atom

a = 7.133 Å, b = 7.133 Å, c = 7.133 Å
α = 146.55°, β = 146.55°, γ = 48.03°
Positions (direct):
Ca  0.000  0.000  0.000
Zr  0.250  0.750  0.500
Zr  0.750  0.250  0.500
Br  0.500  0.500  0.000